# NaGa2Hg

A relaxed NaGa2Hg crystal (GGA-PBE, Alexandria via LeMat-Bulk).

The structure in extended XYZ format:
```
4
Lattice="-3.0084 1.5943 -1.0096 0.3312 -1.4244 -3.2361 -3.8215 -5.8330 2.1763" Properties=species:S:1:pos:R:3 pbc="T T T"
Na -3.2493 -2.8315 -1.0347
Hg -1.3386 0.0849 -2.1229
Ga -2.9940 -4.5699 1.7050
Ga -0.8275 -1.2631 0.4713
```

- volume (Å³ per atom) = 23.03
- E_form (eV per atom) = 0.004
- electronic total energy (eV/cell) = -7.7
- crystal system = tetragonal
- magnetization (Bohr magnetons per cell) = 0.0
- Fermi-level density of states (states/eV/f.u.) = 1.77